Record 1
Here is a PBEsol-optimized structure of Y2TaTl from Alexandria via LeMat-Bulk. Energies are from SCAN.

Calculated values
Raw total energy, eV per atom: -48.6457
Distance to the lowest polymorph of the same formula, kcal/mol of atoms: 0.00

abc: 3.1729 3.1729 9.5457
angles: 90.00 90.00 90.00
Space group P4/mmm (No. 123)
Asymmetric unit:
Y  0.0000  0.0000  0.2349 x2
Ta  0.5000  0.5000  0.0000 x1
Tl  0.5000  0.5000  0.5000 x1

---

Record 2
Here is a PBEsol-optimized structure of YTa2Tl from Alexandria via LeMat-Bulk. Energies are from SCAN.

Calculated values
Raw total energy, eV per atom: -58.0330
Distance to the lowest polymorph of the same formula, kcal/mol of atoms: 0.00

abc: 4.1906 4.1906 9.5719
angles: 90.00 90.00 90.00
Space group I4/mmm (No. 139)
Asymmetric unit:
Y  0.0000  0.0000  0.0000 x2
Ta  0.0000  0.5000  0.2500 x4
Tl  0.0000  0.0000  0.5000 x2

---

Calculated values (eV per formula unit) of formation enthalpy at 0 K for the records, taken in order: 0.04, 1.24.